Below is KAl2Tl2 after structural relaxation, with properties calculated at the PBE level.

Structure (POSCAR):
```
KAl2Tl2
1.0
-2.475 2.475 5.810
2.475 -2.475 5.810
2.475 2.475 -5.810
K Al Tl
1 2 2
direct
0.000 0.000 0.000
0.388 0.388 0.000
0.612 0.612 0.000
0.250 0.750 0.500
0.750 0.250 0.500
```

Summary:
- uncorrected energy (eV for the cell shown) = -12.924
- space group = I4/mmm, No. 139